No. 1
CsVAs2Br | Alexandria | PBE | optimized geometry; space group = P4/mmm (123); offset from the most stable computed form = 1950 meV per atom; D(E_F) = 8.4 states/eV/cell
1.0
5.9205 0.0000 0.0000
0.0000 5.9205 0.0000
0.0000 0.0000 6.3409
Cs V As Br
1 1 2 1
direct
0.0000 0.0000 0.0000
0.5000 0.5000 0.5000
0.0000 0.5000 0.0000
0.5000 0.0000 0.0000
0.0000 0.0000 0.5000



No. 2
CsAsWBr2 | Alexandria | PBE | optimized geometry; space group = P4/mmm (123); offset from the most stable computed form = 2394 meV per atom; D(E_F) = 5.5 states/eV/cell
1.0
6.1122 0.0000 0.0000
0.0000 6.1122 0.0000
0.0000 0.0000 5.5384
Cs As W Br
1 1 1 2
direct
0.0000 0.0000 0.0000
0.5000 0.5000 0.5000
0.0000 0.0000 0.5000
0.0000 0.5000 0.0000
0.5000 0.0000 0.0000



No. 3
CsAs2WBr | Alexandria | PBE | optimized geometry; raw total energy = -25.390 eV per cell; space group = P4/mmm (123); D(E_F) = 4.1 states/eV/cell
1.0
4.9152 0.0000 0.0000
0.0000 4.9152 0.0000
0.0000 0.0000 5.8876
Cs As W Br
1 2 1 1
direct
0.0000 0.0000 0.0000
0.0000 0.5000 0.5000
0.5000 0.0000 0.5000
0.5000 0.5000 0.5000
0.5000 0.5000 0.0000



No. 4
CsAsWBr2 | Alexandria | PBE | optimized geometry; space group = P4/mmm (123); offset from the most stable computed form = 2492 meV per atom; D(E_F) = 24.8 states/eV/cell
1.0
6.1680 0.0000 0.0000
0.0000 6.1680 0.0000
0.0000 0.0000 5.9722
Cs As W Br
1 1 1 2
direct
0.0000 0.0000 0.0000
0.0000 0.0000 0.5000
0.5000 0.5000 0.5000
0.0000 0.5000 0.0000
0.5000 0.0000 0.0000



No. 5
CsAsWBr2 | Alexandria | PBE | optimized geometry; space group = P4/mmm (123); offset from the most stable computed form = 0 meV per atom; D(E_F) = 1.6 states/eV/cell
1.0
5.5757 0.0000 0.0000
0.0000 5.5757 0.0000
0.0000 0.0000 4.8845
Cs As W Br
1 1 1 2
direct
0.0000 0.0000 0.0000
0.5000 0.5000 0.0000
0.5000 0.5000 0.5000
0.0000 0.5000 0.5000
0.5000 0.0000 0.5000



No. 6
CsYAsBr2 | Alexandria | PBE | optimized geometry; space group = P4/mmm (123); offset from the most stable computed form = 0 meV per atom; D(E_F) = 4.0 states/eV/cell
1.0
5.7453 0.0000 0.0000
0.0000 5.7453 0.0000
0.0000 0.0000 5.6312
Cs Y As Br
1 1 1 2
direct
0.0000 0.0000 0.0000
0.5000 0.5000 0.5000
0.5000 0.5000 0.0000
0.0000 0.5000 0.5000
0.5000 0.0000 0.5000



No. 7
CsYAsBr2 | Alexandria | PBE | optimized geometry; space group = P4/mmm (123); offset from the most stable computed form = 1508 meV per atom; D(E_F) = 2.3 states/eV/cell
1.0
6.0623 0.0000 0.0000
0.0000 6.0623 0.0000
0.0000 0.0000 5.9133
Cs Y As Br
1 1 1 2
direct
0.0000 0.0000 0.0000
0.5000 0.5000 0.5000
0.0000 0.0000 0.5000
0.0000 0.5000 0.0000
0.5000 0.0000 0.0000



No. 8
CsZn2AsBr8 | Alexandria | PBE | optimized geometry; raw total energy = -31.675 eV per cell; space group = R-3 (148); D(E_F) = 0.0 states/eV/cell
1.0
3.3774 1.9499 10.7849
-3.3774 1.9499 10.7849
0.0000 -3.8999 10.7849
Cs Zn As Br
1 2 1 8
direct
0.0000 0.0000 0.0000
0.2384 0.2384 0.2384
0.7616 0.7616 0.7616
0.5000 0.5000 0.5000
0.1360 0.7798 0.4373
0.2202 0.5627 0.8640
0.3119 0.3119 0.3119
0.4373 0.1360 0.7798
0.5627 0.8640 0.2202
0.6881 0.6881 0.6881
0.7798 0.4373 0.1360
0.8640 0.2202 0.5627



No. 9
Cs2ZrAsBr | Alexandria | PBE | optimized geometry; raw total energy = -17.727 eV per cell; space group = P4/mmm (123); D(E_F) = 1.5 states/eV/cell
1.0
7.0711 0.0000 0.0000
0.0000 7.0711 0.0000
0.0000 0.0000 5.0913
Cs Zr As Br
2 1 1 1
direct
0.0000 0.5000 0.0000
0.5000 0.0000 0.0000
0.0000 0.0000 0.0000
0.0000 0.0000 0.5000
0.5000 0.5000 0.5000



No. 10
CuAsBr | Alexandria | PBE | optimized geometry; space group = Fmm2 (42); offset from the most stable computed form = 116 meV per atom; D(E_F) = 6.3 states/eV/cell
1.0
3.4712 0.0000 0.0000
0.0000 6.1712 0.0000
0.0000 0.0000 13.2910
Cu As Br
4 4 4
direct
0.0000 0.0000 0.0000
0.0000 0.5000 0.5000
0.5000 0.0000 0.5000
0.5000 0.5000 0.0000
0.0000 0.0000 0.6244
0.0000 0.5000 0.1244
0.5000 0.0000 0.1244
0.5000 0.5000 0.6244
0.0000 0.0000 0.3751
0.0000 0.5000 0.8751
0.5000 0.0000 0.8751
0.5000 0.5000 0.3751



No. 11
CuAsBr2 | Alexandria | PBE | optimized geometry; space group = P2/m (10); offset from the most stable computed form = 407 meV per atom; D(E_F) = 2.1 states/eV/cell
1.0
3.4510 0.0000 0.0000
0.0000 3.4720 0.0000
-0.1102 0.0000 8.2053
Cu As Br
1 1 2
direct
0.0000 0.0000 0.0000
0.0000 0.0000 0.5000
0.0084 0.5000 0.7859
0.9916 0.5000 0.2141



No. 12
CuAsBr2 | Alexandria | PBE | optimized geometry; space group = P2/m (10); offset from the most stable computed form = 508 meV per atom; D(E_F) = 1.1 states/eV/cell
1.0
3.8981 0.0000 0.0000
0.0000 4.1956 0.0000
-0.0187 0.0000 5.6160
Cu As Br
1 1 2
direct
0.0000 0.0000 0.0000
0.5000 0.5000 0.5000
0.0000 0.0000 0.5000
0.5000 0.5000 0.0000



No. 13
CuAsBr2 | Alexandria | PBE | optimized geometry; space group = P4/mmm (123); offset from the most stable computed form = 688 meV per atom; D(E_F) = 3.2 states/eV/cell
1.0
3.3254 0.0000 0.0000
0.0000 3.3254 0.0000
0.0000 0.0000 7.6034
Cu As Br
1 1 2
direct
0.0000 0.0000 0.0000
0.0000 0.0000 0.5000
0.5000 0.5000 0.2161
0.5000 0.5000 0.7839



No. 14
CuAs3Br | Alexandria | PBE | optimized geometry; space group = Pm-3m (221); offset from the most stable computed form = 777 meV per atom; D(E_F) = 5.2 states/eV/cell
1.0
5.0664 0.0000 0.0000
0.0000 5.0664 0.0000
0.0000 0.0000 5.0664
Cu As Br
1 3 1
direct
0.0000 0.0000 0.0000
0.0000 0.5000 0.5000
0.5000 0.0000 0.5000
0.5000 0.5000 0.0000
0.5000 0.5000 0.5000



No. 15
Cu2AsBr | Alexandria | PBE | optimized geometry; space group = P4/mmm (123); offset from the most stable computed form = 246 meV per atom; D(E_F) = 1.5 states/eV/cell
1.0
3.3110 0.0000 0.0000
0.0000 3.3110 0.0000
0.0000 0.0000 6.6016
Cu As Br
2 1 1
direct
0.0000 0.0000 0.1926
0.0000 0.0000 0.8074
0.5000 0.5000 0.0000
0.5000 0.5000 0.5000



No. 16
CuAs3Br | Alexandria | PBE | optimized geometry; space group = Pm-3m (221); offset from the most stable computed form = 0 meV per atom; D(E_F) = 6.6 states/eV/cell
1.0
4.7959 0.0000 0.0000
0.0000 4.7959 0.0000
0.0000 0.0000 4.7959
Cu As Br
1 3 1
direct
0.0000 0.0000 0.0000
0.0000 0.0000 0.5000
0.0000 0.5000 0.0000
0.5000 0.0000 0.0000
0.5000 0.5000 0.5000



No. 17
CuAsBr2 | Alexandria | PBE | optimized geometry; space group = Cmm2 (35); offset from the most stable computed form = 231 meV per atom; D(E_F) = 2.5 states/eV/cell
1.0
3.5825 0.0000 0.0000
0.0000 6.5069 0.0000
0.0000 0.0000 9.0764
Cu As Br
2 2 4
direct
0.0000 0.0000 0.0000
0.5000 0.5000 0.0000
0.0000 0.5000 0.1756
0.5000 0.0000 0.1756
0.0000 0.0000 0.4103
0.0000 0.5000 0.8264
0.5000 0.0000 0.8264
0.5000 0.5000 0.4103



No. 18
Cu2AsBr | Alexandria | PBE | optimized geometry; space group = P4mm (99); offset from the most stable computed form = 3 meV per atom; D(E_F) = 1.4 states/eV/cell
1.0
3.3110 0.0000 0.0000
0.0000 3.3110 0.0000
0.0000 0.0000 7.2971
Cu As Br
2 1 1
direct
0.0000 0.0000 0.0000
0.5000 0.5000 0.1772
0.0000 0.0000 0.3297
0.5000 0.5000 0.8090



No. 19
CuAsBr2 | Alexandria | PBE | optimized geometry; space group = Pmmm (47); offset from the most stable computed form = 542 meV per atom; D(E_F) = 2.9 states/eV/cell
1.0
3.4771 0.0000 0.0000
0.0000 4.1085 0.0000
0.0000 0.0000 7.2742
Cu As Br
1 1 2
direct
0.0000 0.0000 0.0000
0.5000 0.0000 0.5000
0.0000 0.5000 0.5000
0.5000 0.5000 0.0000



No. 20
Cu2AsBr | Alexandria | PBE | optimized geometry; space group = P2/m (10); offset from the most stable computed form = 63 meV per atom; D(E_F) = 1.3 states/eV/cell
1.0
3.4262 0.0000 0.0000
0.0000 3.2582 0.0000
-0.0186 0.0000 6.5976
Cu As Br
2 1 1
direct
0.0062 0.0000 0.1900
0.9938 0.0000 0.8101
0.5000 0.5000 0.0000
0.0000 0.5000 0.5000